*a*
# MgCr2Hg

A crystal of MgCr2Hg relaxed with PBEsol (meta-GGA SCAN, Alexandria).

CIF file:
```
data_MgCr2Hg
_cell_length_a 5.1493
_cell_length_b 8.9250
_cell_length_c 2.6674
_cell_angle_alpha 90.00
_cell_angle_beta 103.47
_cell_angle_gamma 90.00
_symmetry_space_group_name_H-M 'C 1 2/m 1'
_symmetry_Int_Tables_number 12
loop_
_symmetry_equiv_pos_as_xyz
'x,y,z'
'-x,-y,-z'
'-x,y,-z'
'x,-y,z'
'x+1/2,y+1/2,z'
'-x+1/2,-y+1/2,-z'
'-x+1/2,y+1/2,-z'
'x+1/2,-y+1/2,z'
loop_
_atom_site_label
_atom_site_type_symbol
_atom_site_fract_x
_atom_site_fract_y
_atom_site_fract_z
Mg1 Mg 0.0000 0.0000 0.0000
Cr1 Cr 0.2500 0.2500 0.5000
Hg1 Hg 0.0000 0.5000 0.0000
```

---

*b*
# MgCr2Hg

A crystal of MgCr2Hg relaxed with PBEsol (meta-GGA SCAN, Alexandria).

CIF file:
```
data_MgCr2Hg
_cell_length_a 6.5032
_cell_length_b 6.5032
_cell_length_c 6.5032
_cell_angle_alpha 90.00
_cell_angle_beta 90.00
_cell_angle_gamma 90.00
_symmetry_space_group_name_H-M 'F m -3 m'
_symmetry_Int_Tables_number 225
_symmetry_space_group_name_Hall '-F 4 2 3'
loop_
_atom_site_label
_atom_site_type_symbol
_atom_site_fract_x
_atom_site_fract_y
_atom_site_fract_z
Mg1 Mg 0.0000 0.0000 0.0000
Cr1 Cr 0.2500 0.2500 0.2500
Hg1 Hg 0.0000 0.0000 0.5000
```

---

Most stable: *b*

---

*a*
# CrHg2Mo

A crystal of CrHg2Mo relaxed with PBEsol (meta-GGA SCAN, Alexandria).

CIF file:
```
data_CrHg2Mo
_cell_length_a 9.4932
_cell_length_b 2.9110
_cell_length_c 5.0908
_cell_angle_alpha 90.00
_cell_angle_beta 100.25
_cell_angle_gamma 90.00
_symmetry_space_group_name_H-M 'C 1 2/m 1'
_symmetry_Int_Tables_number 12
loop_
_symmetry_equiv_pos_as_xyz
'x,y,z'
'-x,-y,-z'
'-x,y,-z'
'x,-y,z'
'x+1/2,y+1/2,z'
'-x+1/2,-y+1/2,-z'
'-x+1/2,y+1/2,-z'
'x+1/2,-y+1/2,z'
loop_
_atom_site_label
_atom_site_type_symbol
_atom_site_fract_x
_atom_site_fract_y
_atom_site_fract_z
Cr1 Cr 0.0000 0.0000 0.0000
Hg1 Hg 0.2472 0.5000 0.2479
Mo1 Mo 0.0000 0.5000 0.5000
```

---

*b*
# CrHg2Mo

A crystal of CrHg2Mo relaxed with PBEsol (meta-GGA SCAN, Alexandria).

CIF file:
```
data_CrHg2Mo
_cell_length_a 6.5288
_cell_length_b 6.5288
_cell_length_c 6.5288
_cell_angle_alpha 90.00
_cell_angle_beta 90.00
_cell_angle_gamma 90.00
_symmetry_space_group_name_H-M 'F m -3 m'
_symmetry_Int_Tables_number 225
_symmetry_space_group_name_Hall '-F 4 2 3'
loop_
_atom_site_label
_atom_site_type_symbol
_atom_site_fract_x
_atom_site_fract_y
_atom_site_fract_z
Cr1 Cr 0.0000 0.0000 0.0000
Hg1 Hg 0.2500 0.2500 0.2500
Mo1 Mo 0.0000 0.0000 0.5000
```

---

Most stable: *b*

---

*a*
# CrHgMo

A crystal of CrHgMo relaxed with PBEsol (meta-GGA SCAN, Alexandria).

CIF file:
```
data_CrHgMo
_cell_length_a 6.1780
_cell_length_b 6.1780
_cell_length_c 6.1780
_cell_angle_alpha 90.00
_cell_angle_beta 90.00
_cell_angle_gamma 90.00
_symmetry_space_group_name_H-M 'F -4 3 m'
_symmetry_Int_Tables_number 216
_symmetry_space_group_name_Hall 'F -4 2 3'
loop_
_atom_site_label
_atom_site_type_symbol
_atom_site_fract_x
_atom_site_fract_y
_atom_site_fract_z
Cr1 Cr 0.0000 0.0000 0.0000
Hg1 Hg 0.2500 0.2500 0.2500
Mo1 Mo 0.0000 0.0000 0.5000
```

---

*b*
# CrHgMo

A crystal of CrHgMo relaxed with PBEsol (meta-GGA SCAN, Alexandria).

CIF file:
```
data_CrHgMo
_cell_length_a 3.1063
_cell_length_b 4.5986
_cell_length_c 13.3632
_cell_angle_alpha 90.00
_cell_angle_beta 90.00
_cell_angle_gamma 90.00
_symmetry_space_group_name_H-M 'F m m 2'
_symmetry_Int_Tables_number 42
_symmetry_space_group_name_Hall 'F 2 -2'
loop_
_atom_site_label
_atom_site_type_symbol
_atom_site_fract_x
_atom_site_fract_y
_atom_site_fract_z
Cr1 Cr 0.0000 0.0000 0.0000
Hg1 Hg 0.0000 0.0000 0.6762
Mo1 Mo 0.0000 0.0000 0.3654
```

---

Most stable: *b*